Li2MnS2O8 | PBE with a Hubbard U | optimized geometry

Lattice parameters (Å, degrees): 9.407 14.065 9.516 90.00 90.00 90.00
Fractional coordinates of all 104 atoms:
Li (0.046, 0.128, 0.218)
Li (0.046, 0.372, 0.718)
Li (0.227, 0.626, 0.470)
Li (0.227, 0.874, 0.970)
Li (0.273, 0.126, 0.470)
Li (0.273, 0.374, 0.970)
Li (0.454, 0.628, 0.218)
Li (0.454, 0.872, 0.718)
Li (0.546, 0.128, 0.282)
Li (0.546, 0.372, 0.782)
Li (0.727, 0.626, 0.030)
Li (0.727, 0.874, 0.530)
Li (0.773, 0.126, 0.030)
Li (0.773, 0.374, 0.530)
Li (0.954, 0.628, 0.282)
Li (0.954, 0.872, 0.782)
Mn (0.102, 0.623, 0.857)
Mn (0.102, 0.877, 0.357)
Mn (0.398, 0.123, 0.857)
Mn (0.398, 0.377, 0.357)
Mn (0.602, 0.623, 0.643)
Mn (0.602, 0.877, 0.143)
Mn (0.898, 0.123, 0.643)
Mn (0.898, 0.377, 0.143)
S (0.068, 0.230, 0.928)
S (0.068, 0.270, 0.428)
S (0.187, 0.511, 0.164)
S (0.187, 0.989, 0.664)
S (0.313, 0.011, 0.164)
S (0.313, 0.489, 0.664)
S (0.432, 0.730, 0.928)
S (0.432, 0.770, 0.428)
S (0.568, 0.230, 0.572)
S (0.568, 0.270, 0.072)
S (0.687, 0.511, 0.336)
S (0.687, 0.989, 0.836)
S (0.813, 0.011, 0.336)
S (0.813, 0.489, 0.836)
S (0.932, 0.730, 0.572)
S (0.932, 0.770, 0.072)
O (0.003, 0.658, 0.482)
O (0.003, 0.842, 0.982)
O (0.012, 0.227, 0.781)
O (0.012, 0.273, 0.281)
O (0.036, 0.501, 0.211)
O (0.036, 0.999, 0.711)
O (0.042, 0.170, 0.480)
O (0.042, 0.330, 0.980)
O (0.197, 0.525, 0.009)
O (0.197, 0.975, 0.509)
O (0.226, 0.220, 0.929)
O (0.226, 0.280, 0.429)
O (0.235, 0.581, 0.688)
O (0.235, 0.919, 0.188)
O (0.250, 0.091, 0.244)
O (0.250, 0.409, 0.744)
O (0.250, 0.591, 0.244)
O (0.250, 0.909, 0.744)
O (0.265, 0.081, 0.688)
O (0.265, 0.419, 0.188)
O (0.274, 0.720, 0.929)
O (0.274, 0.780, 0.429)
O (0.303, 0.025, 0.009)
O (0.303, 0.475, 0.509)
O (0.458, 0.670, 0.480)
O (0.458, 0.830, 0.980)
O (0.464, 0.001, 0.211)
O (0.464, 0.499, 0.711)
O (0.488, 0.727, 0.781)
O (0.488, 0.773, 0.281)
O (0.497, 0.158, 0.482)
O (0.497, 0.342, 0.982)
O (0.503, 0.658, 0.018)
O (0.503, 0.842, 0.518)
O (0.512, 0.227, 0.719)
O (0.512, 0.273, 0.219)
O (0.536, 0.501, 0.289)
O (0.536, 0.999, 0.789)
O (0.542, 0.170, 0.020)
O (0.542, 0.330, 0.520)
O (0.697, 0.525, 0.491)
O (0.697, 0.975, 0.991)
O (0.726, 0.220, 0.571)
O (0.726, 0.280, 0.071)
O (0.735, 0.581, 0.812)
O (0.735, 0.919, 0.312)
O (0.750, 0.091, 0.256)
O (0.750, 0.409, 0.756)
O (0.750, 0.591, 0.256)
O (0.750, 0.909, 0.756)
O (0.765, 0.081, 0.812)
O (0.765, 0.419, 0.312)
O (0.774, 0.720, 0.571)
O (0.774, 0.780, 0.071)
O (0.803, 0.025, 0.491)
O (0.803, 0.475, 0.991)
O (0.958, 0.670, 0.020)
O (0.958, 0.830, 0.520)
O (0.964, 0.001, 0.289)
O (0.964, 0.499, 0.789)
O (0.988, 0.727, 0.719)
O (0.988, 0.773, 0.219)
O (0.997, 0.158, 0.018)
O (0.997, 0.342, 0.518)

## Properties
The value obtained for the offset from the most stable computed form is 12 meV/atom. As for the density of states at the Fermi level: 0.00 states/eV/f.u. Its space group is Pbca (61).